Here is a relaxed MgVFeP4O14 crystal from Alexandria. Energies are from GGA+U.

Magnetic moment   5.00 μB per formula unit
Symmetry   P1
ρ   2.8 g/cm³
Total energy   -150.99 eV/f.u.

Cell: 5.0369 7.1159 8.2308 Å, 89.85 87.33 73.51°
With the nearest neighbours (Å) after each atom.
Element x y z (fractional)
Mg  0.0000  0.0000  0.0000  4 O 1.96-2.10
V  0.9409  0.3371  0.3731  5 O 1.86-2.04
Fe  0.5407  0.7644  0.8399  3 O 2.03-2.07
P  0.0966  0.5620  0.0569  4 O 1.50-1.62
P  0.3317  0.5531  0.5533  4 O 1.50-1.63
P  0.5050  0.1855  0.1346  4 O 1.51-1.60
P  0.9802  0.9486  0.6191  4 O 1.50-1.61
O  0.1000  0.4512  0.5411  1 P 1.55
O  0.1314  0.9843  0.7701  1 P 1.55
O  0.1921  0.7817  0.5071  2 P 1.61-1.63
O  0.2252  0.7343  0.0500  1 P 1.54
O  0.3171  0.1715  0.2802  1 P 1.51
O  0.3536  0.3667  0.0249  2 P 1.60-1.62
O  0.4358  0.5449  0.7218  1 P 1.50
O  0.5568  0.4816  0.4164  1 P 1.54
O  0.5805  0.0073  0.0178  1 P 1.54
O  0.7195  0.8931  0.6628  1 P 1.50
O  0.7971  0.2064  0.1734  1 P 1.57
O  0.8861  0.5684  0.9329  1 P 1.50
O  0.9229  0.1264  0.5035  1 P 1.55
O  0.9842  0.5380  0.2323  1 P 1.55

***

Here is a relaxed MgVFeP4O14 crystal from Alexandria. Energies are from GGA+U.

Magnetic moment   7.00 μB per formula unit
Symmetry   P1
ρ   2.9 g/cm³
Total energy   -151.96 eV/f.u.

Cell: 4.9665 6.9264 8.3730 Å, 89.67 88.37 71.11°
With the nearest neighbours (Å) after each atom.
Element x y z (fractional)
Mg  0.0000  0.0000  0.0000  4 O 1.99-2.14
V  0.5795  0.4336  0.1391  5 O 1.94-2.15
Fe  0.0024  0.9679  0.6133  5 O 1.94-2.10
P  0.0332  0.6141  0.9120  4 O 1.51-1.60
P  0.1829  0.1807  0.3147  4 O 1.51-1.62
P  0.4192  0.2139  0.8137  4 O 1.50-1.62
P  0.5841  0.7842  0.4108  4 O 1.52-1.64
O  0.0642  0.1893  0.4841  1 P 1.52
O  0.2062  0.6676  0.0470  1 P 1.56
O  0.2081  0.0933  0.8246  1 P 1.54
O  0.2404  0.4523  0.7907  2 P 1.60-1.62
O  0.3250  0.3397  0.2806  1 P 1.51
O  0.3888  0.7890  0.5556  1 P 1.52
O  0.4142  0.9572  0.2823  2 P 1.62-1.64
O  0.5753  0.2019  0.9747  1 P 1.56
O  0.6226  0.1630  0.6719  1 P 1.50
O  0.6626  0.5892  0.3117  1 P 1.52
O  0.8011  0.5328  0.9712  1 P 1.51
O  0.8524  0.8322  0.4523  1 P 1.52
O  0.9234  0.8148  0.8170  1 P 1.54
O  0.9588  0.1848  0.1869  1 P 1.56

***

Here is a relaxed MgVFeP4O14 crystal from Alexandria. Energies are from GGA+U.

Magnetic moment   7.00 μB per formula unit
Symmetry   P1
ρ   2.9 g/cm³
Total energy   -151.91 eV/f.u.

Cell: 4.9212 6.9339 8.3830 Å, 90.24 90.83 108.83°
With the nearest neighbours (Å) after each atom.
Element x y z (fractional)
Mg  0.0000  0.0000  0.0000  4 O 1.99-2.11
V  0.0203  0.0284  0.3803  6 O 1.98-2.19
Fe  0.5820  0.5615  0.8573  5 O 1.91-2.14
P  0.0319  0.3907  0.0870  4 O 1.51-1.60
P  0.1932  0.8163  0.6861  4 O 1.51-1.62
P  0.4220  0.7889  0.1869  4 O 1.50-1.61
P  0.6003  0.2117  0.5909  4 O 1.52-1.64
O  0.0720  0.8061  0.5188  1 P 1.51
O  0.2075  0.9111  0.1813  1 P 1.55
O  0.2130  0.3421  0.9508  1 P 1.56
O  0.2379  0.5525  0.2092  2 P 1.60-1.61
O  0.3450  0.6612  0.7157  1 P 1.51
O  0.4114  0.2081  0.4441  1 P 1.53
O  0.4208  0.0416  0.7192  2 P 1.62-1.64
O  0.5740  0.8040  0.0242  1 P 1.55
O  0.6257  0.8380  0.3280  1 P 1.50
O  0.6768  0.4064  0.6907  1 P 1.52
O  0.7966  0.4710  0.0307  1 P 1.51
O  0.8697  0.1590  0.5525  1 P 1.52
O  0.9247  0.1898  0.1796  1 P 1.54
O  0.9679  0.8087  0.8178  1 P 1.56

***

Here is a relaxed MgVFeP4O14 crystal from Alexandria. Energies are from GGA+U.

Magnetic moment   7.00 μB per formula unit
Symmetry   P1
ρ   2.9 g/cm³
Total energy   -151.84 eV/f.u.

Cell: 5.0072 6.8577 8.2106 Å, 93.74 92.89 105.95°
With the nearest neighbours (Å) after each atom.
Element x y z (fractional)
Mg  0.0000  0.0000  0.0000  3 O 1.99-2.10
V  0.8004  0.0665  0.6179  6 O 1.99-2.11
Fe  0.7461  0.4863  0.1678  5 O 1.92-2.10
P  0.1614  0.2605  0.3130  4 O 1.50-1.64
P  0.1934  0.8566  0.4036  4 O 1.52-1.67
P  0.4165  0.3161  0.8101  4 O 1.51-1.61
P  0.4642  0.7456  0.9132  4 O 1.50-1.60
O  0.0226  0.2737  0.4700  1 P 1.50
O  0.0272  0.8828  0.5490  1 P 1.52
O  0.0657  0.6566  0.2996  1 P 1.53
O  0.1126  0.1818  0.8049  1 P 1.54
O  0.1663  0.0241  0.2697  2 P 1.64-1.67
O  0.1950  0.7870  0.9540  1 P 1.50
O  0.3971  0.5434  0.7908  2 P 1.60-1.61
O  0.4617  0.3946  0.3168  1 P 1.53
O  0.5032  0.8999  0.4482  1 P 1.52
O  0.5447  0.3079  0.9820  1 P 1.53
O  0.5822  0.2649  0.6729  1 P 1.51
O  0.6510  0.7218  0.0650  1 P 1.56
O  0.6594  0.9134  0.8256  1 P 1.54
O  0.9802  0.2746  0.1562  1 P 1.56

***

Here is a relaxed MgPaFe2O8 crystal from Alexandria. Energies are from GGA+U.

Magnetic moment   6.99 μB per formula unit
Symmetry   I-4m2
ρ   5.3 g/cm³
Total energy   -83.81 eV/f.u.

Cell: 5.8774 5.8774 5.8774 Å, 107.85 107.85 112.77°
With the nearest neighbours (Å) after each atom.
Element x y z (fractional)
Mg  0.0000  0.0000  0.0000  8 O 2.24-2.37
Pa  0.2500  0.7500  0.5000  8 O 2.16-2.41
Fe  0.5000  0.5000  0.0000  4 O 1.85
Fe  0.7500  0.2500  0.5000  4 O 1.74
O  0.3023  0.1101  0.8079  1 Fe 1.85
O  0.3023  0.4944  0.1921  1 Fe 1.85
O  0.3839  0.0659  0.3179  1 Fe 1.74
O  0.5056  0.6977  0.8079  1 Fe 1.85
O  0.7480  0.0659  0.6821  1 Fe 1.74
O  0.8899  0.6977  0.1921  1 Fe 1.85
O  0.9341  0.2520  0.3179  1 Fe 1.74
O  0.9341  0.6161  0.6821  1 Fe 1.74

***

Here is a relaxed Mg2PaFeO6 crystal from Alexandria. Energies are from GGA+U.

Magnetic moment   4.98 μB per formula unit
Symmetry   P4mm
ρ   4.8 g/cm³
Total energy   -71.02 eV/f.u.

Cell: 5.4512 5.4512 4.9893 Å, 90.00 90.00 90.00°
With the nearest neighbours (Å) after each atom.
Element x y z (fractional)
Mg  0.0000  0.5000  0.0000  4 O 2.11
Mg  0.5000  0.0000  0.0000  4 O 2.11
Pa  0.0000  0.0000  0.6525  5 O 2.02-2.15
Fe  0.5000  0.5000  0.6808  1 O 1.80
O  0.0000  0.0000  0.2470  1 Pa 2.02
O  0.2552  0.2552  0.8281  1 Fe 2.03, 2 Mg 2.11, 1 Pa 2.15
O  0.2552  0.7448  0.8281  1 Fe 2.03, 2 Mg 2.11, 1 Pa 2.15
O  0.5000  0.5000  0.3198  1 Fe 1.80
O  0.7448  0.2552  0.8281  1 Fe 2.03, 2 Mg 2.11, 1 Pa 2.15
O  0.7448  0.7448  0.8281  1 Fe 2.03, 2 Mg 2.11, 1 Pa 2.15

***

Here is a relaxed MgPaFeO6 crystal from Alexandria. Energies are from GGA+U.

Magnetic moment   3.00 μB per formula unit
Symmetry   P312
ρ   6.3 g/cm³
Total energy   -66.60 eV/f.u.

Cell: 5.0909 5.0909 4.7499 Å, 90.00 90.00 120.00°
With the nearest neighbours (Å) after each atom.
Element x y z (fractional)
Mg  0.0000  0.0000  0.0000  6 O 2.06
Pa  0.3333  0.6667  0.5000  6 O 2.19
Fe  0.6667  0.3333  0.0000  6 O 1.91
O  0.3561  0.0250  0.7710  1 Fe 1.91, 1 Mg 2.06
O  0.3561  0.3311  0.2290  1 Fe 1.91, 1 Mg 2.06
O  0.6689  0.0250  0.2290  1 Fe 1.91, 1 Mg 2.06
O  0.6689  0.6439  0.7710  1 Fe 1.91, 1 Mg 2.06
O  0.9750  0.3311  0.7710  1 Fe 1.91, 1 Mg 2.06
O  0.9750  0.6439  0.2290  1 Fe 1.91, 1 Mg 2.06

***

Here is a relaxed MgFePbO4 crystal from Alexandria. Energies are from GGA+U.

Magnetic moment   4.02 μB per formula unit
Symmetry   Imma
ρ   6.4 g/cm³
Total energy   -41.50 eV/f.u.

Cell: 6.3651 6.3651 6.3651 Å, 121.35 118.19 90.42°
With the nearest neighbours (Å) after each atom.
Element x y z (fractional)
Mg  0.3863  0.1363  0.2500  4 O 2.03-2.05
Mg  0.6137  0.8637  0.7500  4 O 2.03-2.05
Fe  0.0000  0.0000  0.5000  6 O 2.19-2.20
Fe  0.0000  0.5000  0.0000  6 O 2.19-2.20
Pb  0.0000  0.5000  0.5000  6 O 2.18-2.24
Pb  0.5000  0.5000  0.0000  6 O 2.18-2.24
O  0.2263  0.7423  0.4840  1 Mg 2.05, 1 Pb 2.18, 2 Fe 2.19
O  0.2417  0.2577  0.9840  1 Mg 2.05, 1 Pb 2.18, 2 Fe 2.19
O  0.2457  0.2506  0.5049  1 Mg 2.03, 1 Fe 2.20, 2 Pb 2.24
O  0.2457  0.7408  0.9951  1 Mg 2.03, 1 Fe 2.20, 2 Pb 2.24
O  0.7543  0.2592  0.0049  1 Mg 2.03, 1 Fe 2.20, 2 Pb 2.24
O  0.7543  0.7494  0.4951  1 Mg 2.03, 1 Fe 2.20, 2 Pb 2.24
O  0.7583  0.7423  0.0160  1 Mg 2.05, 1 Pb 2.18, 2 Fe 2.19
O  0.7737  0.2577  0.5160  1 Mg 2.05, 1 Pb 2.18, 2 Fe 2.19

***

Here is a relaxed PuMgFe2O8 crystal from Alexandria. Energies are from GGA+U.

Magnetic moment   6.78 μB per formula unit
Symmetry   I-4m2
ρ   5.7 g/cm³
Total energy   -85.82 eV/f.u.

Cell: 5.7875 5.7875 5.7875 Å, 109.23 109.23 109.96°
With the nearest neighbours (Å) after each atom.
Element x y z (fractional)
Pu  0.0000  0.0000  0.0000  4 O 2.03
Mg  0.7500  0.2500  0.5000  4 O 2.13
Fe  0.2500  0.7500  0.5000  4 O 1.88
Fe  0.5000  0.5000  0.0000  4 O 1.78
O  0.0538  0.3514  0.2977  1 Fe 1.88, 1 Pu 2.03
O  0.0538  0.7561  0.7023  1 Fe 1.88, 1 Pu 2.03
O  0.1219  0.3102  0.8118  1 Fe 1.78
O  0.2439  0.9462  0.2977  1 Fe 1.88, 1 Pu 2.03
O  0.4984  0.3102  0.1882  1 Fe 1.78
O  0.6486  0.9462  0.7023  1 Fe 1.88, 1 Pu 2.03
O  0.6898  0.5016  0.8118  1 Fe 1.78
O  0.6898  0.8781  0.1882  1 Fe 1.78

***

Here is a relaxed PuMgFe2O6 crystal from Alexandria. Energies are from GGA+U.

Magnetic moment   6.00 μB per formula unit
Symmetry   R3
ρ   6.8 g/cm³
Total energy   -76.17 eV/f.u.

Cell: 5.7018 5.7018 5.7018 Å, 55.16 55.16 55.16°
With the nearest neighbours (Å) after each atom.
Element x y z (fractional)
Pu  0.0000  0.0000  0.0000  6 O 2.10
Mg  0.5102  0.5102  0.5102  6 O 2.07-2.19
Fe  0.3137  0.3137  0.3137  6 O 2.09-2.10
Fe  0.8013  0.8013  0.8013  6 O 2.07-2.26
O  0.1074  0.3988  0.7148  2 Fe 2.07-2.10, 1 Pu 2.10, 1 Mg 2.19
O  0.2163  0.9127  0.5979  1 Mg 2.07, 2 Fe 2.09-2.26, 1 Pu 2.10
O  0.3988  0.7148  0.1074  2 Fe 2.07-2.10, 1 Pu 2.10, 1 Mg 2.19
O  0.5979  0.2163  0.9127  1 Mg 2.07, 2 Fe 2.09-2.26, 1 Pu 2.10
O  0.7148  0.1074  0.3988  2 Fe 2.07-2.10, 1 Pu 2.10, 1 Mg 2.19
O  0.9127  0.5979  0.2163  1 Mg 2.07, 2 Fe 2.09-2.26, 1 Pu 2.10

***

Here is a relaxed RbMg6FeO8 crystal from Alexandria. Energies are from GGA+U.

Magnetic moment   3.79 μB per formula unit
Symmetry   P4/mmm
ρ   3.9 g/cm³
Total energy   -87.95 eV/f.u.

Cell: 4.5026 4.5026 8.8267 Å, 90.00 90.00 90.00°
With the nearest neighbours (Å) after each atom.
Element x y z (fractional)
Rb  0.0000  0.0000  0.0000  6 O 2.25-2.48
Mg  0.0000  0.5000  0.2619  6 O 2.10-2.31
Mg  0.0000  0.5000  0.7381  6 O 2.10-2.31
Mg  0.5000  0.0000  0.2619  6 O 2.10-2.31
Mg  0.5000  0.0000  0.7381  6 O 2.10-2.31
Mg  0.5000  0.5000  0.0000  6 O 2.21-2.25
Mg  0.5000  0.5000  0.5000  6 O 2.20-2.25
Fe  0.0000  0.0000  0.5000  2 O 1.94
O  0.0000  0.0000  0.2805  1 Fe 1.94
O  0.0000  0.0000  0.7195  1 Fe 1.94
O  0.0000  0.5000  0.0000  4 Mg 2.25-2.31, 2 Rb 2.25
O  0.0000  0.5000  0.5000  4 Mg 2.10-2.25, 2 Fe 2.25
O  0.5000  0.0000  0.0000  4 Mg 2.25-2.31, 2 Rb 2.25
O  0.5000  0.0000  0.5000  4 Mg 2.10-2.25, 2 Fe 2.25
O  0.5000  0.5000  0.2509  6 Mg 2.20-2.25
O  0.5000  0.5000  0.7491  6 Mg 2.20-2.25

***

Here is a relaxed RbMg6FeO8 crystal from Alexandria. Energies are from GGA+U.

Magnetic moment   4.20 μB per formula unit
Symmetry   P4/mmm
ρ   3.9 g/cm³
Total energy   -87.99 eV/f.u.

Cell: 4.4550 4.4550 8.9629 Å, 90.00 90.00 90.00°
With the nearest neighbours (Å) after each atom.
Element x y z (fractional)
Rb  0.0000  0.0000  0.0000  4 O 2.23
Mg  0.0000  0.0000  0.5000  2 O 1.96
Mg  0.0000  0.5000  0.2648  5 O 2.11-2.23
Mg  0.0000  0.5000  0.7352  5 O 2.11-2.23
Mg  0.5000  0.0000  0.2648  5 O 2.11-2.23
Mg  0.5000  0.0000  0.7352  5 O 2.11-2.23
Mg  0.5000  0.5000  0.5000  6 O 2.23-2.24
Fe  0.5000  0.5000  0.0000  6 O 2.23-2.24
O  0.0000  0.0000  0.2810  1 Mg 1.96
O  0.0000  0.0000  0.7190  1 Mg 1.96
O  0.0000  0.5000  0.0000  2 Fe 2.23, 2 Rb 2.23, 2 Mg 2.37
O  0.0000  0.5000  0.5000  6 Mg 2.11-2.23
O  0.5000  0.0000  0.0000  2 Fe 2.23, 2 Rb 2.23, 2 Mg 2.37
O  0.5000  0.0000  0.5000  6 Mg 2.11-2.23
O  0.5000  0.5000  0.2503  5 Mg 2.23-2.24, 1 Fe 2.24
O  0.5000  0.5000  0.7497  5 Mg 2.23-2.24, 1 Fe 2.24

***

- Look up the ρ of the first one.
  2.8 g/cm³

***

- magnetic moment of number 11 (RbMg6FeO8)?
  3.79 μB per formula unit